[1]
DFT (PBE) results for a relaxed structure of Ba2Nb2Cr.

Cell and atoms, written as CIF:
```
data_Ba2Nb2Cr
_chemical_formula_sum 'Ba4 Nb4 Cr2'
_cell_length_a 4.228
_cell_length_b 4.228
_cell_length_c 15.728
_cell_angle_alpha 90.00
_cell_angle_beta 90.00
_cell_angle_gamma 90.00
_space_group_name_H-M_alt 'I 4/m m m'
_space_group_IT_number 139
_space_group_name_Hall '-I 4 2'
loop_
_atom_site_label
_atom_site_fract_x
_atom_site_fract_y
_atom_site_fract_z
Ba1 0.000 0.500 0.250
Nb1 0.000 0.000 0.070
Cr1 0.000 0.000 0.500
```

## Properties
Crystal system: tetragonal
Calculated total energy, eV/cell: -49.3
ΔH_f (0 K), eV/atom: 1.787



[2]
DFT (PBE) results for a relaxed structure of BaNb3Cr.

Cell and atoms, written as CIF:
```
data_BaNb3Cr
_chemical_formula_sum 'Ba1 Nb3 Cr1'
_cell_length_a 5.020
_cell_length_b 5.020
_cell_length_c 5.020
_cell_angle_alpha 90.00
_cell_angle_beta 90.00
_cell_angle_gamma 90.00
_space_group_name_H-M_alt 'P m -3 m'
_space_group_IT_number 221
_space_group_name_Hall '-P 4 2 3'
loop_
_atom_site_label
_atom_site_fract_x
_atom_site_fract_y
_atom_site_fract_z
Ba1 0.000 0.000 0.000
Nb1 0.000 0.000 0.500
Cr1 0.500 0.500 0.500
```

## Properties
Crystal system: cubic
Calculated total energy, eV/cell: -26.5
ΔH_f (0 K), eV/atom: 3.042



[3]
DFT (PBE) results for a relaxed structure of Ba2NbCr.

Cell and atoms, written as CIF:
```
data_Ba2NbCr
_chemical_formula_sum 'Ba8 Nb4 Cr4'
_cell_length_a 7.608
_cell_length_b 7.608
_cell_length_c 7.608
_cell_angle_alpha 90.00
_cell_angle_beta 90.00
_cell_angle_gamma 90.00
_space_group_name_H-M_alt 'F m -3 m'
_space_group_IT_number 225
_space_group_name_Hall '-F 4 2 3'
loop_
_atom_site_label
_atom_site_fract_x
_atom_site_fract_y
_atom_site_fract_z
Ba1 0.250 0.250 0.250
Nb1 0.000 0.000 0.000
Cr1 0.000 0.000 0.500
```

## Properties
Crystal system: cubic
Calculated total energy, eV/cell: -66.7
ΔH_f (0 K), eV/atom: 1.716



[4]
DFT (PBE) results for a relaxed structure of BaNb3Cr.

Cell and atoms, written as CIF:
```
data_BaNb3Cr
_chemical_formula_sum 'Ba1 Nb3 Cr1'
_cell_length_a 4.871
_cell_length_b 4.871
_cell_length_c 4.871
_cell_angle_alpha 90.00
_cell_angle_beta 90.00
_cell_angle_gamma 90.00
_space_group_name_H-M_alt 'P m -3 m'
_space_group_IT_number 221
_space_group_name_Hall '-P 4 2 3'
loop_
_atom_site_label
_atom_site_fract_x
_atom_site_fract_y
_atom_site_fract_z
Ba1 0.000 0.000 0.000
Nb1 0.000 0.500 0.500
Cr1 0.500 0.500 0.500
```

## Properties
Crystal system: cubic
Calculated total energy, eV/cell: -36.8
ΔH_f (0 K), eV/atom: 0.983